Entry 1:
Density functional theory data (PBE-GGA) for an optimized crystal structure of Rb4GaTc2.

Space group = I4/mmm (139)
Formation energy = 1.15 eV per atom

Lattice parameters (Å, degrees): 7.010 7.010 9.801 69.05 69.05 90.00
Each line ends with the local moment (μB).
Fractional positions:
Ga  0.000  0.000  0.000  0.11
Tc  0.560  0.560  0.880  0.97
Tc  0.440  0.440  0.120  0.97
Rb  0.789  0.789  0.422  0.00
Rb  0.211  0.211  0.578  0.00
Rb  0.000  0.500  0.000  0.01
Rb  0.500  0.000  0.000  0.01

Entry 2:
Density functional theory data (PBE-GGA) for an optimized crystal structure of RbGaTc2.

Space group = I-42d (122)
Formation energy = 1.16 eV per atom

Lattice parameters (Å, degrees): 4.483 4.483 9.912 76.93 76.93 90.00
Fractional positions:
Ga  0.500  0.500  0.000
Ga  0.250  0.750  0.500
Tc  0.485  0.125  0.250
Tc  0.265  0.625  0.250
Tc  0.375  0.515  0.750
Tc  0.875  0.735  0.750
Rb  0.000  0.000  0.000
Rb  0.750  0.250  0.500

Entry 3:
Density functional theory data (PBE-GGA) for an optimized crystal structure of RbTlGa2Tc.

Space group = P4/mmm (123)
Formation energy = -0.02 eV per atom

Lattice parameters (Å, degrees): 4.983 4.983 5.378 90.00 90.00 90.00
Fractional positions:
Tl  0.000  0.000  0.500
Ga  0.000  0.500  0.000
Ga  0.500  0.000  0.000
Tc  0.000  0.000  0.000
Rb  0.500  0.500  0.500

Entry 4:
Density functional theory data (PBE-GGA) for an optimized crystal structure of Rb5Ga2Te5.

Space group = C2/m (12)

Lattice parameters (Å, degrees): 4.941 8.585 12.590 99.40 90.00 106.72
Fractional positions:
Rb  0.500  0.000  0.500
Rb  0.645  0.290  0.099
Rb  0.782  0.564  0.373
Rb  0.218  0.436  0.627
Rb  0.355  0.710  0.901
Ga  0.033  0.065  0.793
Ga  0.967  0.935  0.207
Te  0.111  0.223  0.345
Te  0.617  0.235  0.786
Te  0.383  0.765  0.214
Te  0.889  0.777  0.655
Te  0.000  0.000  0.000

Entry 5:
Density functional theory data (PBE-GGA) for an optimized crystal structure of RbGa2Te2.

E above lowest polymorph = 0.093 eV/atom
Space group = P4/mbm (127)

Lattice parameters (Å, degrees): 8.817 8.817 3.839 90.00 90.00 90.00
Fractional positions:
Te  0.180  0.680  0.500
Te  0.680  0.820  0.500
Te  0.820  0.320  0.500
Te  0.320  0.180  0.500
Ga  0.387  0.887  0.000
Ga  0.887  0.613  0.000
Ga  0.613  0.113  0.000
Ga  0.113  0.387  0.000
Rb  0.000  0.000  0.000
Rb  0.500  0.500  0.000

Entry 6:
Density functional theory data (PBE-GGA) for an optimized crystal structure of Rb2GaTe.

E above lowest polymorph = 0.000 eV/atom
Space group = Fm-3m (225)

Lattice parameters (Å, degrees): 6.125 6.125 6.125 60.00 60.00 60.00
Each line ends with the local moment (μB).
Fractional positions:
Te  0.500  0.500  0.500  -0.04
Ga  0.000  0.000  0.000  0.27
Rb  0.250  0.250  0.250  0.02
Rb  0.750  0.750  0.750  0.02

Entry 7:
Density functional theory data (PBE-GGA) for an optimized crystal structure of RbGa2Te2.

E above lowest polymorph = 0.000 eV/atom
Space group = I4/mmm (139)

Lattice parameters (Å, degrees): 5.588 5.588 6.306 63.70 63.70 90.00
Fractional positions:
Te  0.750  0.250  0.500
Te  0.250  0.750  0.500
Ga  0.360  0.360  0.281
Ga  0.640  0.640  0.719
Rb  0.000  0.000  0.000

Entry 8:
Density functional theory data (PBE-GGA) for an optimized crystal structure of RbGaTe.

E above lowest polymorph = 0.080 eV/atom
Space group = P3m1 (156)

Lattice parameters (Å, degrees): 6.323 4.572 4.572 120.00 90.00 90.00
Fractional positions:
Te  0.062  0.000  0.000
Ga  0.273  0.333  0.667
Rb  0.665  0.667  0.333

| no. | total DFT energy (no corrections) (eV/f.u.) |
| --- | --- |
| 1 | -19.61 |
| 2 | -20.08 |
| 3 | -19.84 |
| 4 | -35.68 |
| 5 | -14.88 |
| 6 | -9.26 |
| 7 | -15.34 |
| 8 | -8.73 |